# 1
DFT (PBE-GGA) results for crystalline La3Pm2Nd4 at its relaxed geometry.

Lattice parameters (Å, degrees): 3.6815 3.6815 27.6733 90.00 90.00 120.00
Last column: nearest neighbours and their distance in Å.
Space group P3m1 (No. 156)
Asymmetric unit:
La  0.0000  0.0000  0.0000 x1  6 Pm 3.62-3.78, 6 La 3.68
La  0.0000  0.0000  0.3363 x1  6 Nd 3.65-3.80, 6 La 3.68
La  0.6667  0.3333  0.6687 x1  6 La 3.68, 6 Nd 3.76-3.77
Pm  0.6667  0.3333  0.1061 x1  1 Nd 3.41, 3 La 3.62, 6 Pm 3.68
Pm  0.6667  0.3333  0.8869 x1  3 Nd 3.62, 6 Pm 3.68, 3 La 3.78
Nd  0.0000  0.0000  0.5569 x1  9 Nd 3.64-3.68, 3 La 3.76
Nd  0.0000  0.0000  0.7811 x1  3 Pm 3.62, 6 Nd 3.68, 3 La 3.77
Nd  0.6667  0.3333  0.2292 x1  1 Pm 3.41, 3 La 3.65, 6 Nd 3.68
Nd  0.6667  0.3333  0.4500 x1  9 Nd 3.64-3.68, 3 La 3.80

Values from the calculation:
Volume: 324.82 Å³ per cell
Mass density: 6.56 Mg/m³
DOS(E_F): 1.724 states/eV per atom
Formation enthalpy at 0 K: 0.063 eV/atom
ΔE to the lowest computed polymorph: 47 meV per atom



# 2
DFT (PBE-GGA) results for crystalline SrCd2AgRu at its relaxed geometry.

Lattice parameters (Å, degrees): 5.1690 5.1690 5.2396 90.00 90.00 90.00
Last column: nearest neighbours and their distance in Å.
Space group P4/mmm (No. 123)
Asymmetric unit:
Sr  0.0000  0.0000  0.0000 x1  4 Ru 3.66, 8 Cd 3.68
Cd  0.0000  0.5000  0.5000 x2  2 Ag 2.58
Ag  0.5000  0.5000  0.5000 x1  4 Cd 2.58, 2 Ru 2.62
Ru  0.5000  0.5000  0.0000 x1  2 Ag 2.62

Values from the calculation:
Volume: 140.00 Å³ per cell
Mass density: 6.18 Mg/m³
DOS(E_F): 1.127 states/eV per atom
Formation enthalpy at 0 K: 0.555 eV/atom



# 3
DFT (PBE-GGA) results for crystalline Na2ZnGeIr at its relaxed geometry.

Lattice parameters (Å, degrees): 4.9206 4.9206 4.5632 90.00 90.00 90.00
Last column: nearest neighbours and their distance in Å.
Space group P4/mmm (No. 123)
Asymmetric unit:
Na  0.0000  0.5000  0.0000 x2  2 Zn 2.46
Zn  0.0000  0.0000  0.0000 x1  2 Ge 2.28, 4 Na 2.46
Ge  0.0000  0.0000  0.5000 x1  2 Zn 2.28
Ir  0.5000  0.5000  0.5000 x1  8 Na 3.36, 4 Ge 3.48

Values from the calculation:
Volume: 110.48 Å³ per cell
Mass density: 5.65 Mg/m³
DOS(E_F): 0.629 states/eV per atom
Formation enthalpy at 0 K: 0.985 eV/atom



# 4
DFT (PBE-GGA) results for crystalline Ac6Ge2PdBr3 at its relaxed geometry.

Lattice parameters (Å, degrees): 19.9267 4.5305 9.3917 90.00 102.55 90.00
Last column: nearest neighbours and their distance in Å.
Space group C2/m (No. 12)
Asymmetric unit:
Ac  0.0043  0.0000  0.2277 x4  2 Pd 3.10, 1 Ge 3.13, 2 Br 3.43
Ac  0.1558  0.5000  0.1021 x4  1 Pd 3.04, 2 Ge 3.14, 1 Br 3.31
Ac  0.1730  0.5000  0.5683 x4  3 Ge 3.12-3.17, 3 Br 3.37-3.40
Ge  0.1644  0.0000  0.3364 x4  6 Ac 3.12-3.17
Pd  0.0000  0.5000  0.0000 x2  6 Ac 3.04-3.10
Br  0.0000  0.5000  0.5000 x2  6 Ac 3.37-3.43
Br  0.1743  0.0000  0.8385 x4  6 Ac 3.31-3.48

Values from the calculation:
Volume: 827.61 Å³ per cell
Mass density: 7.44 Mg/m³
DOS(E_F): 0.709 states/eV per atom
Raw formation energy: -1.090 eV/atom